A plane-wave DFT calculation with PBE-GGA was carried out for a relaxed structure of CoNiPb2.

Unit cell a=3.218 b=3.218 c=7.995 alpha=90.00 beta=90.00 gamma=90.00
Site moments in Bohr magnetons follow the coordinates.
Element x y z (fractional)
Pb: 0.500 0.500 0.333  -0.04
Pb: 0.000 0.000 0.915  -0.03
Ni: 0.500 0.500 0.690  0.39
Co: 0.000 0.000 0.562  1.47

Computed properties:
The magnetic moment is 1.7 Bohr magnetons per cell. The calculation puts the formation enthalpy at 0 K at 289.4 meV per atom. Its energy above the most stable polymorph in this dataset is 24 meV/atom. For the total energy, the calculation gives -4.787 eV per atom.